[1]
The following is a PBE calculation of a relaxed structure of NaTcPIr2, from Alexandria.

Cell: 4.804 4.804 4.542 Å, 90.00 90.00 90.00°
Element x y z (fractional)
Na1 0.000 0.000 0.000
Tc1 0.500 0.500 0.500
P1 0.500 0.500 0.000
Ir1 0.000 0.500 0.500
Ir2 0.500 0.000 0.500

Summary:
DFT formation energy   934 meV per atom
Total magnetic moment   0.00 μB per cell
Volume   104.8 Å³/cell

---

[2]
The following is a PBE calculation of a relaxed structure of ScCdGe, from Alexandria.

Cell: 4.001 14.585 4.137 Å, 90.00 90.00 90.00°
Element x y z (fractional)
Sc1 0.000 0.164 0.000
Sc2 0.000 0.836 0.000
Sc3 0.500 0.336 0.000
Sc4 0.500 0.664 0.000
Cd1 0.000 0.000 0.500
Cd2 0.000 0.500 0.000
Cd3 0.500 0.000 0.000
Cd4 0.500 0.500 0.500
Ge1 0.000 0.321 0.500
Ge2 0.000 0.679 0.500
Ge3 0.500 0.179 0.500
Ge4 0.500 0.821 0.500

Summary:
DFT formation energy   -432 meV per atom
Total magnetic moment   0.00 μB per cell
Volume   241.5 Å³/cell

---

[3]
The following is a PBE calculation of a relaxed structure of Zr2CoRh, from Alexandria.

Cell: 3.839 3.839 9.291 Å, 90.00 90.00 90.00°
Element x y z (fractional)
Zr1 0.000 0.000 0.000
Zr2 0.000 0.500 0.250
Zr3 0.500 0.000 0.750
Zr4 0.500 0.500 0.500
Co1 0.000 0.500 0.750
Co2 0.500 0.000 0.250
Rh1 0.000 0.000 0.500
Rh2 0.500 0.500 0.000

Summary:
DFT formation energy   -350 meV per atom
Total magnetic moment   0.00 μB per cell
Volume   137.0 Å³/cell
ΔE to the lowest computed polymorph   180.4 meV/atom

---

> total magnetic moment of number 2 (ScCdGe)?

0.00 μB per cell